VASP calculation (GGA-PBE) on crystalline Ce4TcPb2 at its relaxed geometry.

```
data_Ce4TcPb2
_chemical_formula_sum 'Ce8 Tc2 Pb4'
_cell_length_a 3.657
_cell_length_b 6.545
_cell_length_c 17.600
_cell_angle_alpha 90.00
_cell_angle_beta 90.00
_cell_angle_gamma 90.00
_symmetry_space_group_name_H-M 'A m m 2'
_symmetry_Int_Tables_number 38
loop_
_symmetry_equiv_pos_as_xyz
'x,y,z'
'-x,-y,z'
'-x,y,z'
'x,-y,z'
'x,y+1/2,z+1/2'
'-x,-y+1/2,z+1/2'
'-x,y+1/2,z+1/2'
'x,-y+1/2,z+1/2'
loop_
_atom_site_label
_atom_site_fract_x
_atom_site_fract_y
_atom_site_fract_z
Ce1 0.000 0.000 0.000
Ce2 0.000 0.000 0.338
Ce3 0.500 0.217 0.669
Tc1 0.000 0.000 0.169
Pb1 0.500 0.000 0.501
Pb2 0.500 0.000 0.837
```

Computed properties:
The calculation puts the density of states at the Fermi level at 20.11 states/eV/f.u. Its volume is 210.6 Å³/f.u. The total energy is -6.013 eV/atom.

VASP calculation (GGA-PBE) on crystalline NpFe4Mo at its relaxed geometry.

```
data_NpFe4Mo
_chemical_formula_sum 'Np4 Fe16 Mo4'
_cell_length_a 6.874
_cell_length_b 6.874
_cell_length_c 6.874
_cell_angle_alpha 90.00
_cell_angle_beta 90.00
_cell_angle_gamma 90.00
_symmetry_space_group_name_H-M 'F -4 3 m'
_symmetry_Int_Tables_number 216
_symmetry_space_group_name_Hall 'F -4 2 3'
loop_
_atom_site_label
_atom_site_fract_x
_atom_site_fract_y
_atom_site_fract_z
Np1 0.000 0.000 0.000
Fe1 0.125 0.125 0.375
Mo1 0.250 0.250 0.750
```

Computed properties:
The calculation puts the density of states at the Fermi level at 12.36 states/eV/f.u. Its volume is 81.2 Å³/f.u. The total energy is -9.436 eV/atom.

VASP calculation (GGA-PBE) on crystalline CoMoIr at its relaxed geometry.

```
data_CoMoIr
_chemical_formula_sum 'Co2 Mo2 Ir2'
_cell_length_a 2.716
_cell_length_b 3.757
_cell_length_c 8.073
_cell_angle_alpha 90.00
_cell_angle_beta 90.00
_cell_angle_gamma 90.00
_symmetry_space_group_name_H-M 'I m m 2'
_symmetry_Int_Tables_number 44
loop_
_symmetry_equiv_pos_as_xyz
'x,y,z'
'-x,-y,z'
'-x,y,z'
'x,-y,z'
'x+1/2,y+1/2,z+1/2'
'-x+1/2,-y+1/2,z+1/2'
'-x+1/2,y+1/2,z+1/2'
'x+1/2,-y+1/2,z+1/2'
loop_
_atom_site_label
_atom_site_fract_x
_atom_site_fract_y
_atom_site_fract_z
Co1 0.000 0.000 0.000
Mo1 0.000 0.000 0.334
Ir1 0.000 0.000 0.662
```

Computed properties:
The calculation puts the density of states at the Fermi level at 3.52 states/eV/f.u. Its volume is 41.2 Å³/f.u. The total energy is -9.045 eV/atom.

What did the second record say?
VASP calculation (GGA-PBE) on crystalline NpFe4Mo at its relaxed geometry.

```
data_NpFe4Mo
_chemical_formula_sum 'Np4 Fe16 Mo4'
_cell_length_a 6.874
_cell_length_b 6.874
_cell_length_c 6.874
_cell_angle_alpha 90.00
_cell_angle_beta 90.00
_cell_angle_gamma 90.00
_symmetry_space_group_name_H-M 'F -4 3 m'
_symmetry_Int_Tables_number 216
_symmetry_space_group_name_Hall 'F -4 2 3'
loop_
_atom_site_label
_atom_site_fract_x
_atom_site_fract_y
_atom_site_fract_z
Np1 0.000 0.000 0.000
Fe1 0.125 0.125 0.375
Mo1 0.250 0.250 0.750
```

Computed properties:
The calculation puts the density of states at the Fermi level at 12.36 states/eV/f.u. Its volume is 81.2 Å³/f.u. The total energy is -9.436 eV/atom.

- Which of these has the lowest volume?
  CoMoIr

- volume of number 1 (Ce4TcPb2)?
  210.6 Å³/f.u.